Below is an optimized crystal structure of Tm2TiCrO6, with properties calculated at the PBE with a Hubbard U level.

abc: 5.158 5.158 5.009
angles: 90.00 90.00 90.00
Space group P4mm (No. 99)
Symmetry-distinct sites (fractional):
Tm 0.000 0.500 0.000
Ti 0.000 0.000 0.596
Cr 0.500 0.500 0.596
O 0.000 0.000 0.228
O 0.240 0.240 0.747
O 0.500 0.500 0.169

Values from the calculation:
total energy	-82.4	eV/cell
calculated volume	133.3	Å³/cell
total magnetic moment	4.00	μB per cell